The following is a GGA+U calculation of Sr3NiPbO6 after structural relaxation, from Alexandria via LeMat-Bulk.

Structure (CIF):
```
data_Sr3NiPbO6
_space_group_name_H-M_alt 'R -3 c'
_space_group_IT_number 167
_space_group_name_Hall '-R 3 2"c'
_cell_length_a 9.8142
_cell_length_b 9.8142
_cell_length_c 11.4877
_cell_angle_alpha 90.00
_cell_angle_beta 90.00
_cell_angle_gamma 120.00
loop_
_atom_site_label
_atom_site_type_symbol
_atom_site_fract_x
_atom_site_fract_y
_atom_site_fract_z
Sr1 Sr 0.0000 0.3712 0.2500
Ni1 Ni 0.0000 0.0000 0.0000
Pb1 Pb 0.0000 0.0000 0.2500
O1 O 0.0197 0.1770 0.3840
```

Summary:
As for the total energy: -5.7405 eV per atom. The volume comes out at 14.52 Å³ per atom. As for the total magnetization: 2.00 μB/f.u.